The following is a DFT calculation (PBE) of a relaxed BiMoCl2 crystal.

Lattice parameters (Å, degrees): 3.228 3.228 36.372 90.00 90.00 120.00
Atoms (fractional coordinates):
Bi: 0.000 0.000 0.000
Bi: 0.333 0.667 0.667
Bi: 0.667 0.333 0.333
Mo: 0.000 0.000 0.500
Mo: 0.333 0.667 0.167
Mo: 0.667 0.333 0.833
Cl: 0.000 0.000 0.121
Cl: 0.000 0.000 0.879
Cl: 0.333 0.667 0.546
Cl: 0.333 0.667 0.787
Cl: 0.667 0.333 0.213
Cl: 0.667 0.333 0.454

Calculated values
Energy above the lowest structure with this stoichiometry   0 meV/atom

The following is a DFT calculation (PBE) of a relaxed BiMo3Cl crystal.

Lattice parameters (Å, degrees): 4.543 4.543 4.543 90.00 90.00 90.00
Atoms (fractional coordinates):
Bi: 0.000 0.000 0.000
Mo: 0.000 0.500 0.500
Mo: 0.500 0.000 0.500
Mo: 0.500 0.500 0.000
Cl: 0.500 0.500 0.500

Calculated values
Raw total energy   -32.7 eV per cell